1.
Below is a relaxed TbPrCoCl crystal, with properties calculated at the PBE level.

Unit cell a=7.9336 b=7.9336 c=7.9336 alpha=28.33 beta=28.33 gamma=28.33
Fractional coordinates of all 4 atoms:
Tb: 0.0000 0.0000 0.0000
Pr: 0.7990 0.7990 0.7990
Co: 0.3976 0.3976 0.3976
Cl: 0.5720 0.5720 0.5720

energy: -5.40 eV/atom
magnetic moment: 0.000 μB/f.u.
formation energy (no corrections): -3.25 eV per formula unit


2.
Below is a relaxed NdEuNi crystal, with properties calculated at the PBE level.

Unit cell a=4.0498 b=4.0498 c=6.5618 alpha=90.00 beta=90.00 gamma=120.00
Fractional coordinates of all 3 atoms:
Nd: 0.0000 0.0000 0.0000
Eu: 0.6667 0.3333 0.5217
Ni: 0.3333 0.6667 0.7799

energy: -7.02 eV/atom
magnetic moment: 7.367 μB/f.u.


3.
Below is a relaxed Tl2HgPb3 crystal, with properties calculated at the PBE level.

Unit cell a=9.5306 b=3.4227 c=11.8085 alpha=90.00 beta=104.35 gamma=90.00
Fractional coordinates of all 12 atoms:
Tl: 0.0298 0.2500 0.3760
Tl: 0.1180 0.2500 0.1210
Tl: 0.8820 0.7500 0.8790
Tl: 0.9702 0.7500 0.6240
Hg: 0.1977 0.2500 0.8728
Hg: 0.8023 0.7500 0.1272
Pb: 0.2963 0.2500 0.6344
Pb: 0.3962 0.2500 0.3741
Pb: 0.4421 0.7500 0.1108
Pb: 0.5579 0.2500 0.8892
Pb: 0.6038 0.7500 0.6259
Pb: 0.7037 0.7500 0.3656

energy: -2.67 eV/atom
magnetic moment: 0.000 μB/f.u.


4.
Below is a relaxed CoNiPd14 crystal, with properties calculated at the PBE level.

Unit cell a=9.0621 b=5.5276 c=5.5276 alpha=60.32 beta=90.00 gamma=90.00
Fractional coordinates of all 16 atoms:
Co: 0.0000 0.0000 0.0000
Ni: 0.0000 0.5015 0.5015
Pd: 0.0000 0.0055 0.5049
Pd: 0.0000 0.5049 0.0055
Pd: 0.2386 0.3302 0.8314
Pd: 0.2386 0.8314 0.3302
Pd: 0.2466 0.8342 0.8342
Pd: 0.2476 0.3340 0.3340
Pd: 0.5000 0.1642 0.1642
Pd: 0.5000 0.1653 0.6652
Pd: 0.5000 0.6641 0.6641
Pd: 0.5000 0.6652 0.1653
Pd: 0.7524 0.3340 0.3340
Pd: 0.7534 0.8342 0.8342
Pd: 0.7614 0.3302 0.8314
Pd: 0.7614 0.8314 0.3302

energy: -5.32 eV/atom
magnetic moment: 6.918 μB/f.u.


5.
Below is a relaxed Li2CrPd crystal, with properties calculated at the PBE level.

Unit cell a=4.1674 b=4.1674 c=4.1674 alpha=60.00 beta=60.00 gamma=60.00
Fractional coordinates of all 4 atoms:
Li: 0.2500 0.2500 0.2500
Li: 0.7500 0.7500 0.7500
Cr: 0.0000 0.0000 0.0000
Pd: 0.5000 0.5000 0.5000

energy: -4.14 eV/atom
magnetic moment: 0.000 μB/f.u.


6.
Below is a relaxed La2Sm7Y crystal, with properties calculated at the PBE level.

Unit cell a=6.3132 b=6.3134 c=9.6528 alpha=102.46 beta=109.00 gamma=99.70
Fractional coordinates of all 10 atoms:
La: 0.2002 0.1003 0.2012
La: 0.7998 0.8997 0.7988
Sm: 0.0000 0.5000 0.0000
Sm: 0.1987 0.5981 0.6988
Sm: 0.4013 0.2010 0.8997
Sm: 0.4011 0.7001 0.4005
Sm: 0.5989 0.2999 0.5995
Sm: 0.5987 0.7990 0.1003
Sm: 0.8013 0.4019 0.3012
Y: 0.0000 0.0000 0.5000

energy: -4.92 eV/atom
magnetic moment: 0.000 μB/f.u.


Among the records above, which one has the lowest energy? NdEuNi